1.
Density functional theory data (GGA-PBE) for an optimized crystal structure of Cs3CdH.

The structure in CIF format:
```
data_Cs3CdH
_space_group_name_H-M_alt 'P m -3 m'
_space_group_IT_number 221
_space_group_name_Hall '-P 4 2 3'
_cell_length_a 6.263
_cell_length_b 6.263
_cell_length_c 6.263
_cell_angle_alpha 90.00
_cell_angle_beta 90.00
_cell_angle_gamma 90.00
loop_
_atom_site_label
_atom_site_type_symbol
_atom_site_fract_x
_atom_site_fract_y
_atom_site_fract_z
Cs1 Cs 0.000 0.000 0.500
Cd1 Cd 0.500 0.500 0.500
H1 H 0.000 0.000 0.000
```

Properties
ΔE to the lowest computed polymorph = 0.0 meV/atom
Spin magnetization = 0.00 μB/atom

***

2.
Density functional theory data (GGA-PBE) for an optimized crystal structure of Pa2ReSi4Ni3.

The structure in CIF format:
```
data_Pa2ReSi4Ni3
_space_group_name_H-M_alt 'P -4 m 2'
_space_group_IT_number 115
_cell_length_a 4.038
_cell_length_b 4.038
_cell_length_c 9.497
_cell_angle_alpha 90.00
_cell_angle_beta 90.00
_cell_angle_gamma 90.00
loop_
_space_group_symop_operation_xyz
'x,y,z'
'y,-x,-z'
'-x,-y,z'
'-y,x,-z'
'-x,y,z'
'-y,-x,-z'
'x,-y,z'
'y,x,-z'
loop_
_atom_site_label
_atom_site_type_symbol
_atom_site_fract_x
_atom_site_fract_y
_atom_site_fract_z
Pa1 Pa 0.000 0.500 0.248
Re1 Re 0.000 0.000 0.500
Si1 Si 0.000 0.000 0.000
Si2 Si 0.000 0.500 0.639
Si3 Si 0.500 0.500 0.000
Ni1 Ni 0.000 0.500 0.881
Ni2 Ni 0.500 0.500 0.500
```

Properties
Raw formation energy = -0.717 eV/atom
Spin magnetization = 0.00 μB/atom